Entry 1:
Material: NaBeRe2Ru
Method: DFT, PBE
State: optimized geometry

Output
E_form	1.57	eV per atom
SG	No. 123
V	19.9	Å³/atom
spin magnetization	2.670	Bohr magnetons per cell

Cell: 4.752 4.414 4.752 Å, 90.00 90.00 90.00°
Last column: magnetic moment on the atom in μB.
Sites, in units of the cell vectors:
Be (0.000, 0.500, 0.000)  -0.02
Ru (0.000, 0.000, 0.000)  -0.03
Re (0.000, 0.000, 0.500)  1.21
Re (0.500, 0.000, 0.000)  1.13
Na (0.500, 0.500, 0.500)  0.00

Entry 2:
Material: ScTlCl4
Method: DFT, PBE
State: optimized geometry

Output
energy relative to the lowest polymorph listed for this composition	37.32	kcal/mol of atoms
SG	No. 216
V	25.1	Å³/atom
E_form (uncorrected)	-115	meV/atom
spin magnetization	1.548	Bohr magnetons per cell

Cell: 5.976 5.976 5.976 Å, 60.00 60.00 60.00°
Last column: magnetic moment on the atom in μB.
Sites, in units of the cell vectors:
Cl (0.376, 0.873, 0.376)  0.13
Cl (0.376, 0.376, 0.376)  0.13
Cl (0.376, 0.376, 0.873)  0.13
Cl (0.873, 0.376, 0.376)  0.13
Tl (0.000, 0.000, 0.000)  0.02
Sc (0.750, 0.750, 0.750)  0.68

Entry 3:
Material: Mn2SiP
Method: DFT, PBE
State: optimized geometry

Output
SG	No. 225
V	10.8	Å³/atom
E_form (uncorrected)	-296	meV/atom
spin magnetization	0.000	Bohr magnetons per cell

Cell: 3.938 3.938 3.938 Å, 60.00 60.00 60.00°
Sites, in units of the cell vectors:
Si (0.000, 0.000, 0.000)
P (0.500, 0.500, 0.500)
Mn (0.250, 0.250, 0.250)
Mn (0.750, 0.750, 0.750)

Entry 4:
Material: Sr2ZnRu
Method: DFT, PBE
State: optimized geometry

Output
E_form	0.51	eV per atom
SG	No. 122
V	26.7	Å³/atom
spin magnetization	0.000	Bohr magnetons per cell

Cell: 8.324 8.324 6.644 Å, 51.21 51.21 90.00°
Sites, in units of the cell vectors:
Sr (0.375, 0.341, 0.750)
Sr (0.875, 0.909, 0.750)
Sr (0.659, 0.125, 0.250)
Sr (0.091, 0.625, 0.250)
Zn (0.250, 0.750, 0.500)
Zn (0.500, 0.500, 0.000)
Ru (0.750, 0.250, 0.500)
Ru (0.000, 0.000, 0.000)

Entry 5:
Material: In2PAu
Method: DFT, PBE
State: optimized geometry

Output
E_form	-0.05	eV per atom
SG	No. 38
V	23.6	Å³/atom
spin magnetization	0.000	Bohr magnetons per cell

Cell: 4.318 4.908 4.909 Å, 65.38 90.00 90.00°
Sites, in units of the cell vectors:
In (0.000, 0.939, 0.939)
In (0.500, 0.313, 0.313)
Au (0.500, 0.708, 0.708)
P (0.000, 0.540, 0.540)

Entry 6:
Material: DyMg2Tl2
Method: DFT, PBE
State: optimized geometry

Output
E_form	0.16	eV per atom
energy relative to the lowest polymorph listed for this composition	6.08	kcal/mol of atoms
SG	No. 194
V	28.7	Å³/atom
spin magnetization	0.000	Bohr magnetons per cell

Cell: 5.034 5.034 13.068 Å, 90.00 90.00 120.00°
Sites, in units of the cell vectors:
Tl (0.667, 0.333, 0.119)
Tl (0.333, 0.667, 0.881)
Tl (0.333, 0.667, 0.619)
Tl (0.667, 0.333, 0.381)
Mg (0.333, 0.667, 0.250)
Mg (0.000, 0.000, 0.000)
Mg (0.667, 0.333, 0.750)
Mg (0.000, 0.000, 0.500)
Dy (0.000, 0.000, 0.750)
Dy (0.000, 0.000, 0.250)

Entry 7:
Material: La4Rh2Br3
Method: DFT, PBE
State: optimized geometry

Output
SG	No. 12
V	31.8	Å³/atom
E_form (uncorrected)	-1305	meV/atom
spin magnetization	0.000	Bohr magnetons per cell

Cell: 4.180 4.180 18.919 Å, 90.07 89.93 120.00°
Sites, in units of the cell vectors:
La (0.998, 0.002, 0.299)
La (0.002, 0.998, 0.701)
La (0.666, 0.334, 0.128)
La (0.334, 0.666, 0.872)
Br (0.000, 0.000, 0.000)
Br (0.335, 0.665, 0.596)
Br (0.665, 0.335, 0.404)
Rh (0.668, 0.332, 0.792)
Rh (0.332, 0.668, 0.208)

Entry 8:
Material: CaPmZnBi
Method: DFT, PBE
State: optimized geometry

Output
E_form	-0.44	eV per atom
SG	No. 216
V	28.0	Å³/atom
spin magnetization	0.000	Bohr magnetons per cell

Cell: 5.409 5.409 5.409 Å, 60.00 60.00 60.00°
Sites, in units of the cell vectors:
Zn (0.750, 0.750, 0.750)
Pm (0.500, 0.500, 0.500)
Bi (0.250, 0.250, 0.250)
Ca (0.000, 0.000, 0.000)